Arrangement 1

Below is crystalline CoTeMoI2 at its relaxed geometry, with properties calculated at the PBE-GGA level.

Cell lengths 5.267, 5.267, 5.051 Å; angles 90.00, 90.00, 90.00 degrees
Positions (direct):
1 I 0.000 0.500 0.000
2 I 0.500 0.000 0.000
3 Mo 0.500 0.500 0.500
4 Te 0.000 0.000 0.500
5 Co 0.000 0.000 0.000

- Total moment: 3.06 μB/f.u.
- Calculated density: 6.4 g/cm³
- Space group: P4/mmm, No. 123



Arrangement 2

Below is crystalline CoTeMoI2 at its relaxed geometry, with properties calculated at the PBE-GGA level.

Cell lengths 5.675, 5.675, 5.209 Å; angles 90.00, 90.00, 90.00 degrees
Positions (direct):
1 I 0.000 0.500 0.000
2 I 0.500 0.000 0.000
3 Mo 0.000 0.000 0.000
4 Te 0.000 0.000 0.500
5 Co 0.500 0.500 0.500

- Total moment: 0.91 μB/f.u.
- Calculated density: 5.3 g/cm³
- Space group: P4/mmm, No. 123



arrangement 1 takes first place; second place is 56 meV per atom up.